12
Lattice="4.4615 0.0000 0.0000 -2.2307 3.8638 0.0000 0.0000 0.0000 15.3735" Properties=species:S:1:pos:R:3 comment="TbScZn2Sn2 | OQMD via LeMat-Bulk | PBE | relaxed" energy_ev_per_atom=-4.116 pbc="T T T"
Tb 0.0000 0.0000 0.0000
Tb 0.0000 0.0000 7.6867
Sc 0.0000 0.0000 3.8434
Sc 0.0000 0.0000 11.5301
Zn 0.0000 2.5758 2.5217
Zn 0.0000 2.5758 5.1650
Zn 2.2307 1.2879 10.2084
Zn 2.2307 1.2879 12.8518
Sn 0.0000 2.5758 9.4888
Sn 0.0000 2.5758 13.5714
Sn 2.2307 1.2879 1.8021
Sn 2.2307 1.2879 5.8847